[1]
First-principles (PBE-GGA) data for a relaxed structure of RbLi2Pb2, as listed in Alexandria via LeMat-Bulk.

Lattice parameters (Å, degrees): 9.304 9.304 3.392 90.00 90.00 90.00
Fractional positions:
Rb: 0.000 0.000 0.000
Rb: 0.500 0.500 0.000
Li: 0.153 0.347 0.500
Li: 0.347 0.847 0.500
Li: 0.653 0.153 0.500
Li: 0.847 0.653 0.500
Pb: 0.127 0.627 0.000
Pb: 0.373 0.127 0.000
Pb: 0.627 0.873 0.000
Pb: 0.873 0.373 0.000

crystal system: tetragonal
E above lowest polymorph: 20 meV per atom
calculated formation energy: -0.141 eV/atom
SG: P4/mbm, No. 127

---

[2]
First-principles (PBE-GGA) data for a relaxed structure of Rb3LiPb4, as listed in Alexandria via LeMat-Bulk.

Lattice parameters (Å, degrees): 7.142 13.619 7.020 90.00 90.00 90.00
Fractional positions:
Rb: 0.250 0.003 0.170
Rb: 0.250 0.250 0.540
Rb: 0.250 0.497 0.170
Rb: 0.750 0.503 0.830
Rb: 0.750 0.750 0.460
Rb: 0.750 0.997 0.830
Li: 0.250 0.750 0.314
Li: 0.750 0.250 0.686
Pb: 0.016 0.750 0.964
Pb: 0.250 0.632 0.668
Pb: 0.250 0.868 0.668
Pb: 0.484 0.750 0.964
Pb: 0.516 0.250 0.036
Pb: 0.750 0.132 0.332
Pb: 0.750 0.368 0.332
Pb: 0.984 0.250 0.036

crystal system: orthorhombic
E above lowest polymorph: 16 meV per atom
calculated formation energy: -0.227 eV/atom
SG: Pmmn, No. 59

---

[3]
First-principles (PBE-GGA) data for a relaxed structure of RbLiPb6, as listed in Alexandria via LeMat-Bulk.

Lattice parameters (Å, degrees): 4.918 4.918 11.250 90.00 90.00 90.00
Fractional positions:
Rb: 0.000 0.000 0.000
Li: 0.000 0.000 0.500
Pb: 0.000 0.500 0.334
Pb: 0.000 0.500 0.666
Pb: 0.500 0.000 0.334
Pb: 0.500 0.000 0.666
Pb: 0.500 0.500 0.148
Pb: 0.500 0.500 0.852

crystal system: tetragonal
calculated formation energy: -0.088 eV/atom
SG: P4/mmm, No. 123

---

[4]
First-principles (PBE-GGA) data for a relaxed structure of RbLiPb2, as listed in Alexandria via LeMat-Bulk.

Lattice parameters (Å, degrees): 5.650 5.650 5.650 60.00 60.00 60.00
Fractional positions:
Rb: 0.000 0.000 0.000
Li: 0.500 0.500 0.500
Pb: 0.250 0.250 0.250
Pb: 0.750 0.750 0.750

crystal system: cubic
E above lowest polymorph: 255 meV per atom
calculated formation energy: 0.052 eV/atom
SG: Fm-3m, No. 225